Er4Cd5Ag2 (PBE, relaxed); E_form = -0.26 eV/atom; SG = P2/m, No. 10; uncorrected energy = -31.41 eV per cell
1.0
7.699 0.000 0.000
0.000 3.479 0.000
-0.746 0.000 9.973
Er Cd Ag
4 5 2
Direct
0.167 0.000 0.375 Er
0.259 0.000 0.945 Er
0.741 0.000 0.055 Er
0.833 0.000 0.625 Er
0.190 0.500 0.658 Cd
0.445 0.500 0.198 Cd
0.500 0.500 0.500 Cd
0.555 0.500 0.802 Cd
0.810 0.500 0.342 Cd
0.062 0.500 0.137 Ag
0.938 0.500 0.863 Ag

---

Er2CdAg3 (PBE, relaxed); distance to the lowest polymorph of the same formula = 0.000 eV/atom; E_form = -0.28 eV/atom; SG = P-3m1, No. 164; uncorrected energy = -40.55 eV per cell
1.0
4.983 0.000 0.000
-2.491 4.315 0.000
0.000 0.000 12.211
Er Cd Ag
4 2 6
Direct
0.000 0.000 0.000 Er
0.000 0.000 0.500 Er
0.333 0.667 0.179 Er
0.667 0.333 0.821 Er
0.333 0.667 0.666 Cd
0.667 0.333 0.334 Cd
0.000 0.000 0.252 Ag
0.000 0.000 0.748 Ag
0.333 0.667 0.422 Ag
0.333 0.667 0.922 Ag
0.667 0.333 0.078 Ag
0.667 0.333 0.578 Ag

---

ErCd2Ag (PBE, relaxed); E_form = -0.22 eV/atom; SG = Fm-3m, No. 225; uncorrected energy = -40.50 eV per cell
1.0
7.034 0.000 0.000
0.000 7.034 0.000
0.000 0.000 7.034
Er Cd Ag
4 8 4
Direct
0.000 0.000 0.000 Er
0.000 0.500 0.500 Er
0.500 0.000 0.500 Er
0.500 0.500 0.000 Er
0.250 0.250 0.250 Cd
0.250 0.250 0.750 Cd
0.250 0.750 0.250 Cd
0.250 0.750 0.750 Cd
0.750 0.250 0.250 Cd
0.750 0.250 0.750 Cd
0.750 0.750 0.250 Cd
0.750 0.750 0.750 Cd
0.000 0.000 0.500 Ag
0.000 0.500 0.000 Ag
0.500 0.000 0.000 Ag
0.500 0.500 0.500 Ag

---

Er6CdAg2 (PBE, relaxed); E_form = -0.18 eV/atom; SG = Immm, No. 71; uncorrected energy = -71.20 eV per cell
1.0
-4.824 4.965 5.075
4.824 -4.965 5.075
4.824 4.965 -5.075
Er Cd Ag
12 2 4
Direct
0.044 0.824 0.220 Er
0.245 0.546 0.301 Er
0.245 0.945 0.699 Er
0.273 0.319 0.592 Er
0.273 0.681 0.954 Er
0.397 0.176 0.220 Er
0.603 0.824 0.780 Er
0.727 0.319 0.046 Er
0.727 0.681 0.408 Er
0.755 0.055 0.301 Er
0.755 0.454 0.699 Er
0.956 0.176 0.780 Er
0.000 0.500 0.500 Cd
0.500 0.000 0.500 Cd
0.000 0.147 0.147 Ag
0.000 0.853 0.853 Ag
0.366 0.366 0.000 Ag
0.634 0.634 0.000 Ag

---

ErCd2Ag6 (PBE, relaxed); distance to the lowest polymorph of the same formula = 0.032 eV/atom; E_form = -0.07 eV/atom; SG = C2/c, No. 15; uncorrected energy = -48.24 eV per cell
1.0
5.585 -5.040 0.000
5.585 5.040 0.000
-4.165 0.000 6.387
Er Cd Ag
2 4 12
Direct
0.091 0.909 0.750 Er
0.909 0.091 0.250 Er
0.217 0.472 0.577 Cd
0.472 0.217 0.077 Cd
0.528 0.783 0.923 Cd
0.783 0.528 0.423 Cd
0.038 0.716 0.296 Ag
0.111 0.309 0.124 Ag
0.284 0.962 0.204 Ag
0.293 0.558 0.013 Ag
0.309 0.111 0.624 Ag
0.442 0.707 0.487 Ag
0.558 0.293 0.513 Ag
0.691 0.889 0.376 Ag
0.707 0.442 0.987 Ag
0.716 0.038 0.796 Ag
0.889 0.691 0.876 Ag
0.962 0.284 0.704 Ag

---

ErCd3Ag7 (PBE, relaxed); E_form = 0.08 eV/atom; SG = C2/m, No. 12; uncorrected energy = -26.35 eV per cell
1.0
4.773 -4.865 0.000
4.773 4.865 0.000
-2.212 0.000 5.150
Er Cd Ag
1 3 7
Direct
0.000 0.000 0.000 Er
0.286 0.714 0.500 Cd
0.500 0.500 0.000 Cd
0.714 0.286 0.500 Cd
0.000 0.000 0.500 Ag
0.079 0.551 0.812 Ag
0.288 0.288 0.462 Ag
0.449 0.921 0.188 Ag
0.551 0.079 0.812 Ag
0.712 0.712 0.538 Ag
0.921 0.449 0.188 Ag

---

ErCd8Ag6 (PBE, relaxed); E_form = -0.04 eV/atom; SG = R-3, No. 148; uncorrected energy = -29.59 eV per cell
1.0
4.075 2.353 5.736
-4.075 2.353 5.736
0.000 -4.705 5.736
Er Cd Ag
1 8 6
Direct
0.000 0.000 0.000 Er
0.136 0.435 0.807 Cd
0.193 0.864 0.565 Cd
0.272 0.272 0.272 Cd
0.435 0.807 0.136 Cd
0.565 0.193 0.864 Cd
0.728 0.728 0.728 Cd
0.807 0.136 0.435 Cd
0.864 0.565 0.193 Cd
0.078 0.673 0.376 Ag
0.327 0.624 0.922 Ag
0.376 0.078 0.673 Ag
0.624 0.922 0.327 Ag
0.673 0.376 0.078 Ag
0.922 0.327 0.624 Ag

---

ErCdAg6 (PBE, relaxed); distance to the lowest polymorph of the same formula = 0.132 eV/atom; E_form = 0.15 eV/atom; SG = R-3m, No. 166; uncorrected energy = -21.35 eV per cell
1.0
2.780 1.605 7.593
-2.780 1.605 7.593
0.000 -3.211 7.593
Er Cd Ag
1 1 6
Direct
0.000 0.000 0.000 Er
0.500 0.500 0.500 Cd
0.062 0.565 0.565 Ag
0.435 0.435 0.938 Ag
0.435 0.938 0.435 Ag
0.565 0.062 0.565 Ag
0.565 0.565 0.062 Ag
0.938 0.435 0.435 Ag

---

Er3Cd2Ag2 (PBE, relaxed); E_form = -0.27 eV/atom; SG = Cmmm, No. 65; uncorrected energy = -46.26 eV per cell
1.0
4.481 0.000 0.000
0.000 21.826 0.000
0.000 0.000 3.430
Er Cd Ag
6 4 4
Direct
0.000 0.000 0.000 Er
0.000 0.160 0.000 Er
0.000 0.840 0.000 Er
0.500 0.340 0.000 Er
0.500 0.500 0.000 Er
0.500 0.660 0.000 Er
0.000 0.423 0.500 Cd
0.000 0.577 0.500 Cd
0.500 0.077 0.500 Cd
0.500 0.923 0.500 Cd
0.000 0.287 0.500 Ag
0.000 0.713 0.500 Ag
0.500 0.213 0.500 Ag
0.500 0.787 0.500 Ag

---

ErCd2Ag (PBE, relaxed); E_form = -0.18 eV/atom; SG = P4/mmm, No. 123; uncorrected energy = -9.97 eV per cell
1.0
3.422 0.000 0.000
0.000 3.422 0.000
0.000 0.000 7.604
Er Cd Ag
1 2 1
Direct
0.000 0.000 0.000 Er
0.500 0.500 0.279 Cd
0.500 0.500 0.721 Cd
0.000 0.000 0.500 Ag

---

Er3Cd4Ag2 (PBE, relaxed); E_form = -0.28 eV/atom; SG = C2/m, No. 12; uncorrected energy = -25.61 eV per cell
1.0
5.424 -2.463 0.000
5.424 2.463 0.000
-4.739 0.000 7.775
Er Cd Ag
3 4 2
Direct
0.000 0.000 0.000 Er
0.331 0.331 0.337 Er
0.669 0.669 0.663 Er
0.055 0.055 0.387 Cd
0.283 0.283 0.947 Cd
0.717 0.717 0.053 Cd
0.945 0.945 0.613 Cd
0.392 0.392 0.724 Ag
0.608 0.608 0.276 Ag

---

Er3Cd12Ag (PBE, relaxed); E_form = -0.19 eV/atom; SG = P4/mmm, No. 123; uncorrected energy = -30.58 eV per cell
1.0
4.528 0.000 0.000
0.000 4.528 0.000
0.000 0.000 17.901
Er Cd Ag
3 12 1
Direct
0.000 0.000 0.000 Er
0.000 0.000 0.262 Er
0.000 0.000 0.738 Er
0.000 0.500 0.130 Cd
0.000 0.500 0.386 Cd
0.000 0.500 0.614 Cd
0.000 0.500 0.870 Cd
0.500 0.000 0.130 Cd
0.500 0.000 0.386 Cd
0.500 0.000 0.614 Cd
0.500 0.000 0.870 Cd
0.500 0.500 0.000 Cd
0.500 0.500 0.263 Cd
0.500 0.500 0.500 Cd
0.500 0.500 0.737 Cd
0.000 0.000 0.500 Ag

---

Er2Cd6Ag3 (PBE, relaxed); E_form = -0.08 eV/atom; SG = P-62m, No. 189; uncorrected energy = -24.01 eV per cell
1.0
7.971 0.000 0.000
-3.985 6.903 0.000
0.000 0.000 4.662
Er Cd Ag
2 6 3
Direct
0.333 0.667 0.000 Er
0.667 0.333 0.000 Er
0.000 0.216 0.000 Cd
0.000 0.750 0.500 Cd
0.216 0.000 0.000 Cd
0.250 0.250 0.500 Cd
0.750 0.000 0.500 Cd
0.784 0.784 0.000 Cd
0.000 0.414 0.500 Ag
0.414 0.000 0.500 Ag
0.586 0.586 0.500 Ag

---

ErCd3Ag6 (PBE, relaxed); E_form = -0.07 eV/atom; SG = Cmc2_1, No. 36; uncorrected energy = -50.16 eV per cell
1.0
3.679 -7.323 0.000
3.679 7.323 0.000
0.000 0.000 7.665
Er Cd Ag
2 6 12
Direct
0.208 0.792 0.500 Er
0.792 0.208 0.000 Er
0.157 0.416 0.281 Cd
0.416 0.157 0.781 Cd
0.435 0.565 0.618 Cd
0.565 0.435 0.118 Cd
0.584 0.843 0.281 Cd
0.843 0.584 0.781 Cd
0.002 0.998 0.171 Ag
0.009 0.369 0.649 Ag
0.218 0.330 0.927 Ag
0.279 0.721 0.885 Ag
0.330 0.218 0.427 Ag
0.369 0.009 0.149 Ag
0.631 0.991 0.649 Ag
0.670 0.782 0.927 Ag
0.721 0.279 0.385 Ag
0.782 0.670 0.427 Ag
0.991 0.631 0.149 Ag
0.998 0.002 0.671 Ag

---

Er3Cd2Ag7 (PBE, relaxed); E_form = -0.05 eV/atom; SG = Cmmm, No. 65; uncorrected energy = -36.03 eV per cell
1.0
2.388 -12.022 0.000
2.388 12.022 0.000
0.000 0.000 4.755
Er Cd Ag
3 2 7
Direct
0.000 0.000 0.000 Er
0.160 0.840 0.000 Er
0.840 0.160 0.000 Er
0.349 0.651 0.500 Cd
0.651 0.349 0.500 Cd
0.078 0.922 0.500 Ag
0.226 0.774 0.500 Ag
0.421 0.579 0.000 Ag
0.500 0.500 0.500 Ag
0.579 0.421 0.000 Ag
0.774 0.226 0.500 Ag
0.922 0.078 0.500 Ag

---

Er2CdAg3 (PBE, relaxed); distance to the lowest polymorph of the same formula = 0.019 eV/atom; E_form = -0.26 eV/atom; SG = Fmmm, No. 69; uncorrected energy = -40.32 eV per cell
1.0
0.000 4.827 8.368
3.289 0.000 8.368
3.289 4.827 0.000
Er Cd Ag
4 2 6
Direct
0.247 0.753 0.753 Er
0.250 0.250 0.250 Er
0.750 0.750 0.750 Er
0.753 0.247 0.247 Er
0.333 0.333 0.667 Cd
0.667 0.667 0.333 Cd
0.166 0.166 0.834 Ag
0.167 0.667 0.333 Ag
0.333 0.833 0.167 Ag
0.667 0.167 0.833 Ag
0.833 0.333 0.667 Ag
0.834 0.834 0.166 Ag

---

ErCd2Ag5 (PBE, relaxed); E_form = -0.03 eV/atom; SG = I4/mcm, No. 140; uncorrected energy = -41.76 eV per cell
1.0
-3.790 3.790 5.676
3.790 -3.790 5.676
3.790 3.790 -5.676
Er Cd Ag
2 4 10
Direct
0.250 0.250 0.000 Er
0.750 0.750 0.000 Er
0.155 0.655 0.811 Cd
0.345 0.155 0.500 Cd
0.655 0.845 0.500 Cd
0.845 0.345 0.189 Cd
0.000 0.000 0.000 Ag
0.022 0.810 0.500 Ag
0.190 0.690 0.212 Ag
0.310 0.522 0.500 Ag
0.478 0.978 0.788 Ag
0.500 0.500 0.000 Ag
0.522 0.022 0.212 Ag
0.690 0.478 0.500 Ag
0.810 0.310 0.788 Ag
0.978 0.190 0.500 Ag

---

Er3CdAg4 (PBE, relaxed); distance to the lowest polymorph of the same formula = 0.168 eV/atom; E_form = -0.09 eV/atom; SG = Immm, No. 71; uncorrected energy = -53.53 eV per cell
1.0
3.347 0.000 0.000
0.000 9.360 0.000
0.000 0.000 12.128
Er Cd Ag
6 2 8
Direct
0.000 0.000 0.000 Er
0.000 0.500 0.221 Er
0.000 0.500 0.779 Er
0.500 0.000 0.279 Er
0.500 0.000 0.721 Er
0.500 0.500 0.500 Er
0.000 0.000 0.500 Cd
0.500 0.500 0.000 Cd
0.000 0.261 0.375 Ag
0.000 0.261 0.625 Ag
0.000 0.739 0.375 Ag
0.000 0.739 0.625 Ag
0.500 0.239 0.125 Ag
0.500 0.239 0.875 Ag
0.500 0.761 0.125 Ag
0.500 0.761 0.875 Ag

---

ErCd15Ag4 (PBE, relaxed); E_form = -0.07 eV/atom; SG = P4/mmm, No. 123; uncorrected energy = -31.00 eV per cell
1.0
4.421 0.000 0.000
0.000 4.421 0.000
0.000 0.000 21.831
Er Cd Ag
1 15 4
Direct
0.000 0.000 0.000 Er
0.000 0.500 0.108 Cd
0.000 0.500 0.304 Cd
0.000 0.500 0.500 Cd
0.000 0.500 0.696 Cd
0.000 0.500 0.892 Cd
0.500 0.000 0.108 Cd
0.500 0.000 0.304 Cd
0.500 0.000 0.500 Cd
0.500 0.000 0.696 Cd
0.500 0.000 0.892 Cd
0.500 0.500 0.000 Cd
0.500 0.500 0.208 Cd
0.500 0.500 0.401 Cd
0.500 0.500 0.599 Cd
0.500 0.500 0.792 Cd
0.000 0.000 0.204 Ag
0.000 0.000 0.404 Ag
0.000 0.000 0.596 Ag
0.000 0.000 0.796 Ag

---

ErCd9Ag2 (PBE, relaxed); E_form = -0.08 eV/atom; SG = I4_1/amd, No. 141; uncorrected energy = -38.82 eV per cell
1.0
-5.930 5.930 3.759
5.930 -5.930 3.759
5.930 5.930 -3.759
Er Cd Ag
2 18 4
Direct
0.375 0.625 0.750 Er
0.625 0.375 0.250 Er
0.120 0.552 0.328 Cd
0.120 0.792 0.568 Cd
0.125 0.875 0.250 Cd
0.208 0.276 0.328 Cd
0.208 0.880 0.932 Cd
0.276 0.208 0.828 Cd
0.276 0.448 0.068 Cd
0.448 0.276 0.568 Cd
0.448 0.880 0.172 Cd
0.552 0.120 0.828 Cd
0.552 0.724 0.432 Cd
0.724 0.552 0.932 Cd
0.724 0.792 0.172 Cd
0.792 0.120 0.068 Cd
0.792 0.724 0.672 Cd
0.875 0.125 0.750 Cd
0.880 0.208 0.432 Cd
0.880 0.448 0.672 Cd
0.000 0.000 0.000 Ag
0.000 0.000 0.500 Ag
0.000 0.500 0.000 Ag
0.500 0.000 0.500 Ag